(1)
The following is a DFT calculation (PBE) of a relaxed structure of PmNd3.

The space group is Imm2, No. 44. The energy above the most stable polymorph in this dataset comes out at 0.019 eV/atom. The uncorrected energy is -4.733 eV per atom. The density of states at the Fermi level comes out at 6.95 states/eV/f.u. The calculated formation energy comes out at 0.031 eV per atom.

```
4
Lattice="3.692 0.000 0.000 0.000 6.417 0.000 -1.846 -3.208 5.967" Properties=species:S:1:pos:R:3 pbc="T T T"
Pm 0.000 0.019 0.000
Nd 1.846 -1.087 2.978
Nd 1.846 3.224 0.000
Nd 0.000 2.122 2.989
```

***

(2)
The following is a DFT calculation (PBE) of a relaxed structure of Pm3Nd.

The space group is Pmm2, No. 25. The energy above the most stable polymorph in this dataset comes out at 0.030 eV/atom. The uncorrected energy is -4.722 eV per atom. The density of states at the Fermi level comes out at 7.20 states/eV/f.u. The calculated formation energy comes out at 0.033 eV per atom.

```
4
Lattice="-2.246 1.791 2.308 -0.905 -5.024 3.019 4.971 1.372 3.773" Properties=species:S:1:pos:R:3 pbc="T T T"
Pm 2.565 -0.474 5.806
Pm 1.364 1.582 3.042
Pm 1.203 -2.055 2.766
Nd 0.001 0.000 0.001
```

***

(3)
The following is a DFT calculation (PBE) of a relaxed structure of PmNd3.

The space group is I4/mmm, No. 139. The energy above the most stable polymorph in this dataset comes out at 0.000 eV/atom. The uncorrected energy is -4.752 eV per atom. The density of states at the Fermi level comes out at 6.32 states/eV/f.u. The calculated formation energy comes out at 0.012 eV per atom.

```
4
Lattice="-3.396 4.433 3.088 -5.932 0.214 -2.342 3.607 -4.838 2.075" Properties=species:S:1:pos:R:3 pbc="T T T"
Nd -2.227 0.960 2.767
Nd -4.664 2.324 0.373
Nd -3.495 -1.150 0.052
Pm 0.000 0.000 0.000
```

***

(4)
The following is a DFT calculation (PBE) of a relaxed structure of PmNd3.

The space group is Pmm2, No. 25. The energy above the most stable polymorph in this dataset comes out at 0.021 eV/atom. The uncorrected energy is -4.730 eV per atom. The density of states at the Fermi level comes out at 7.06 states/eV/f.u. The calculated formation energy comes out at 0.033 eV per atom.

```
4
Lattice="-3.306 1.063 1.259 -2.615 -4.220 -3.305 0.524 -4.141 4.873" Properties=species:S:1:pos:R:3 pbc="T T T"
Nd -2.525 -5.023 3.031
Nd -1.390 -1.544 3.072
Nd -1.134 -3.484 -0.036
Pm 0.001 -0.007 0.008
```

***

(5)
The following is a DFT calculation (PBE) of a relaxed structure of Pm13Nd2.

The space group is R-3m, No. 166. The energy above the most stable polymorph in this dataset comes out at 0.107 eV/atom. The uncorrected energy is -4.603 eV per atom. The density of states at the Fermi level comes out at 22.20 states/eV/f.u. The calculated formation energy comes out at 0.150 eV per atom.

```
15
Lattice="6.239 0.000 3.584 2.090 5.878 3.584 -2.782 -1.964 12.065" Properties=species:S:1:pos:R:3 pbc="T T T"
Pm 2.441 -0.470 13.790
Pm 0.375 2.458 13.790
Pm 6.186 4.366 14.485
Pm 3.087 4.366 12.704
Pm 5.148 1.446 12.704
Pm 5.171 1.457 5.442
Pm 0.398 2.469 6.529
Pm 2.773 1.957 9.616
Pm 2.460 -0.452 6.529
Pm -0.666 -0.470 12.005
Pm 6.212 4.384 7.227
Pm -0.640 -0.452 4.748
Pm 3.105 4.384 5.442
Nd 2.117 1.494 3.536
Nd 3.429 2.420 15.696
```

***

(6)
The following is a DFT calculation (PBE) of a relaxed structure of Pm6Nd7.

The space group is R-3m, No. 166. The uncorrected energy is -4.527 eV per atom. The density of states at the Fermi level comes out at 29.31 states/eV/f.u. The calculated formation energy comes out at 0.233 eV per atom.

```
13
Lattice="-2.055 -4.775 4.321 3.581 -5.690 0.704 6.708 1.454 10.085" Properties=species:S:1:pos:R:3 pbc="T T T"
Pm 1.362 -6.702 3.817
Pm 3.650 -0.984 5.936
Pm 4.964 -3.830 8.704
Pm 4.584 -8.027 9.173
Pm 3.270 -5.181 6.405
Pm 6.872 -2.309 11.292
Nd 0.753 -2.929 4.953
Nd 7.481 -6.082 10.156
Nd 1.742 -0.632 2.874
Nd 0.000 0.000 0.000
Nd 4.769 -5.641 11.897
Nd 6.492 -8.379 12.235
Nd 3.465 -3.369 3.212
```